Record 1
Cd3Pt, optimized geometry, DFT PBE; final energy = -2.38 eV per atom
1.0
4.243 0.000 0.000
0.000 4.243 0.000
0.000 0.000 4.243
Cd Pt
3 1
Direct
0.000 0.000 0.500
0.000 0.500 0.000
0.500 0.000 0.000
0.500 0.500 0.500

***

Record 2
K2Cd3Sn4Hg, optimized geometry, DFT PBE; final energy = -2.27 eV per atom
1.0
4.847 0.000 0.000
0.000 4.847 0.000
0.000 0.000 12.763
K Cd Sn Hg
2 3 4 1
Direct
0.000 0.500 0.245
0.500 0.000 0.755
0.000 0.000 0.000
0.000 0.500 0.643
0.500 0.000 0.357
0.000 0.000 0.500
0.000 0.500 0.866
0.500 0.000 0.134
0.500 0.500 0.500
0.500 0.500 0.000

***

Record 3
VIrRu2, optimized geometry, DFT PBE; distance to the lowest polymorph of the same formula = 0.053 eV per atom; final energy = -9.36 eV per atom
1.0
4.349 0.000 0.000
0.000 5.449 0.000
0.000 0.000 4.699
V Ir Ru
2 2 4
Direct
0.000 0.000 0.000
0.500 0.000 0.358
0.500 0.250 0.852
0.500 0.750 0.852
0.000 0.248 0.500
0.000 0.500 0.016
0.000 0.752 0.500
0.500 0.500 0.343

***

Record 4
KLiNi2, optimized geometry, DFT PBE; distance to the lowest polymorph of the same formula = 0.164 eV per atom; final energy = -3.12 eV per atom
1.0
2.636 0.000 0.000
0.000 4.048 0.000
0.000 0.000 7.015
K Li Ni
1 1 2
Direct
0.000 0.000 0.000
0.000 0.000 0.500
0.500 0.500 0.340
0.500 0.500 0.660

***

Record 5
Zr2Pd2Au, optimized geometry, DFT PBE; distance to the lowest polymorph of the same formula = 0.187 eV per atom; final energy = -6.61 eV per atom
1.0
4.626 -1.846 0.000
4.626 1.846 0.000
-2.364 0.000 5.805
Zr Pd Au
2 2 1
Direct
0.147 0.147 0.280
0.853 0.853 0.720
0.171 0.171 0.838
0.829 0.829 0.162
0.500 0.500 0.500

***

Record 6
Co2AuSe, optimized geometry, DFT PBE; distance to the lowest polymorph of the same formula = 0.071 eV per atom; formation energy from raw total energies = 0.269 eV/atom; final energy = -4.97 eV per atom
1.0
1.415 0.817 9.093
-1.415 0.817 9.093
0.000 -1.634 9.093
Co Au Se
2 1 1
Direct
0.000 0.000 0.000
0.267 0.267 0.267
0.749 0.749 0.749
0.535 0.535 0.535